# PaCdI, relaxed, DFT GGA-PBE
# * crystal system: triclinic
# * calculated total energy: -24.05 eV/cell
# * ρ: 8.242 Mg/m³
# * size of the total moment: 0.00 μB/cell
# * ΔE_f (raw): -6 kJ/mol of formula units
data_PaCdI
_chemical_formula_sum 'Pa2 Cd2 I2'
_cell_length_a 4.911
_cell_length_b 6.074
_cell_length_c 6.638
_cell_angle_alpha 73.90
_cell_angle_beta 86.05
_cell_angle_gamma 86.02
_symmetry_space_group_name_H-M 'P -1'
_symmetry_Int_Tables_number 2
_symmetry_space_group_name_Hall '-P 1'
loop_
_atom_site_label
_atom_site_fract_x
_atom_site_fract_y
_atom_site_fract_z
Pa1 0.197 0.382 0.441
Cd1 0.261 0.502 0.891
I1 0.292 0.926 0.273